# GGA-PBE TaCuTc, optimized geometry
data_TaCuTc
_cell_length_a 4.8128
_cell_length_b 4.8128
_cell_length_c 4.8128
_cell_angle_alpha 140.20
_cell_angle_beta 140.20
_cell_angle_gamma 57.56
_space_group_name_H-M_alt 'P 1'
_space_group_IT_number 1
_space_group_name_Hall 'P 1'
loop_
_atom_site_label
_atom_site_type_symbol
_atom_site_fract_x
_atom_site_fract_y
_atom_site_fract_z
Ta1 Ta 0.3299 0.3299 0.0000
Tc1 Tc 0.6690 0.6690 0.0000
Cu1 Cu 0.0011 0.0011 0.0000
# Total DFT energy (no corrections), eV/atom: -8.781
# DOS(E_F), states/eV/cell: 3.6
# Space group: I4mm
# Formation enthalpy at 0 K, kJ per mole of atoms: -0.9
# Polymorph energy (0 for the lowest one), kJ per mole of atoms: 0.0